1.
A crystal of Zr2PRh relaxed with PBEsol, computed with SCAN.

Lattice parameters (Å, degrees): 3.568 3.814 5.359 90.00 109.45 90.00
Fractional coordinates of all 4 atoms:
1 P 0.708 0.000 0.416
2 Rh 0.551 0.500 0.102
3 Zr 0.974 0.000 0.947
4 Zr 0.270 0.500 0.540

Results
Energy relative to the elements in kJ/mol of formula units: -456.6
D(E_F) in states/eV/atom: 0.727
Space group: Amm2 (38)

***

2.
A crystal of P2Ru3 relaxed with PBEsol, computed with SCAN.

Lattice parameters (Å, degrees): 3.787 3.787 5.419 90.00 90.00 120.00
Fractional coordinates of all 5 atoms:
1 Ru 0.000 0.000 0.000
2 Ru 0.333 0.667 0.336
3 Ru 0.667 0.333 0.664
4 P 0.333 0.667 0.772
5 P 0.667 0.333 0.228

Results
Energy relative to the elements in kJ/mol of formula units: -264.8
D(E_F) in states/eV/atom: 0.546
Space group: P-3m1 (164)

***

3.
A crystal of PRu2 relaxed with PBEsol, computed with SCAN.

Lattice parameters (Å, degrees): 3.832 5.820 6.923 90.00 90.00 90.00
Fractional coordinates of all 12 atoms:
1 P 0.750 0.751 0.889
2 P 0.250 0.749 0.389
3 P 0.250 0.249 0.111
4 P 0.750 0.251 0.611
5 Ru 0.750 0.141 0.924
6 Ru 0.250 0.359 0.424
7 Ru 0.250 0.859 0.076
8 Ru 0.750 0.641 0.576
9 Ru 0.750 0.015 0.345
10 Ru 0.250 0.485 0.845
11 Ru 0.250 0.985 0.655
12 Ru 0.750 0.515 0.155

Results
Energy relative to the elements in kJ/mol of formula units: -128.6
D(E_F) in states/eV/atom: 0.825
Space group: Pnma (62)

***

4.
A crystal of ScP2RuS relaxed with PBEsol, computed with SCAN.

Lattice parameters (Å, degrees): 4.377 4.377 4.989 90.00 90.00 90.00
Fractional coordinates of all 5 atoms:
1 Sc 0.500 0.500 0.500
2 Ru 0.000 0.000 0.000
3 S 0.000 0.000 0.500
4 P 0.000 0.500 0.000
5 P 0.500 0.000 0.000

Results
Formation energy (no corrections) in eV per atom: -0.005
D(E_F) in states/eV/atom: 0.588
Space group: P4/mmm (123)

***

5.
A crystal of Sb2PRu relaxed with PBEsol, computed with SCAN.

Lattice parameters (Å, degrees): 3.072 4.661 6.186 112.13 104.38 90.00
Fractional coordinates of all 4 atoms:
1 P 0.430 0.430 0.861
2 Ru 0.769 0.269 0.539
3 Sb 0.048 0.048 0.097
4 Sb 0.252 0.752 0.504

Results
Formation energy (no corrections) in eV per atom: 0.229
D(E_F) in states/eV/atom: 0.603
Space group: Imm2 (44)

***

6.
A crystal of Sb2PRu relaxed with PBEsol, computed with SCAN.

Lattice parameters (Å, degrees): 4.430 4.872 4.427 117.02 90.00 117.04
Fractional coordinates of all 4 atoms:
1 P 0.000 0.000 0.500
2 Ru 0.500 0.000 0.000
3 Sb 0.750 0.500 0.750
4 Sb 0.250 0.500 0.250

Results
Formation energy (no corrections) in eV per atom: 0.587
D(E_F) in states/eV/atom: 0.546
Space group: I4/mmm (139)

***

7.
A crystal of SbPRu2 relaxed with PBEsol, computed with SCAN.

Lattice parameters (Å, degrees): 4.374 4.374 4.374 60.00 60.00 60.00
Last column: magnetic moment on the atom in μB.
Fractional coordinates of all 4 atoms:
1 P 0.000 0.000 0.000  0.07
2 Ru 0.750 0.750 0.750  0.53
3 Ru 0.250 0.250 0.250  0.53
4 Sb 0.500 0.500 0.500  0.02

Results
Formation energy (no corrections) in eV per atom: 0.160
D(E_F) in states/eV/atom: 0.992
Space group: Fm-3m (225)
Relative energy among the computed polymorphs in eV/atom: 0.276

***

8.
A crystal of SbPRu2 relaxed with PBEsol, computed with SCAN.

Lattice parameters (Å, degrees): 3.274 3.274 5.874 90.00 90.00 90.00
Last column: magnetic moment on the atom in μB.
Fractional coordinates of all 4 atoms:
1 P 0.500 0.500 0.850  0.00
2 Ru 0.000 0.000 0.929  -0.33
3 Ru 0.500 0.500 0.250  0.58
4 Sb 0.000 0.000 0.471  0.00

Results
Formation energy (no corrections) in eV per atom: -0.059
D(E_F) in states/eV/atom: 0.810
Space group: P4mm (99)
Relative energy among the computed polymorphs in eV/atom: 0.058

***

9.
A crystal of SbP2Ru relaxed with PBEsol, computed with SCAN.

Lattice parameters (Å, degrees): 3.068 3.068 7.041 90.00 90.00 90.00
Fractional coordinates of all 4 atoms:
1 P 0.000 0.000 0.097
2 P 0.500 0.500 0.250
3 Ru 0.000 0.000 0.448
4 Sb 0.500 0.500 0.705

Results
Formation energy (no corrections) in eV per atom: 0.163
D(E_F) in states/eV/atom: 0.530
Space group: P4mm (99)

***

10.
A crystal of SbPRu2 relaxed with PBEsol, computed with SCAN.

Lattice parameters (Å, degrees): 3.042 4.515 4.544 90.00 90.00 90.00
Fractional coordinates of all 4 atoms:
1 P 0.500 0.816 0.500
2 Ru 0.500 0.994 0.000
3 Ru 0.000 0.195 0.500
4 Sb 0.000 0.495 0.000

Results
Formation energy (no corrections) in eV per atom: -0.116
D(E_F) in states/eV/atom: 0.548
Space group: Pmm2 (25)
Relative energy among the computed polymorphs in eV/atom: 0.000

***

11.
A crystal of ScPRu relaxed with PBEsol, computed with SCAN.

Lattice parameters (Å, degrees): 3.592 6.483 6.483 120.00 90.00 90.00
Fractional coordinates of all 9 atoms:
1 Sc 0.500 0.588 0.000
2 Sc 0.500 0.412 0.412
3 Sc 0.500 0.000 0.588
4 P 0.000 0.333 0.667
5 P 0.000 0.667 0.333
6 P 0.500 0.000 0.000
7 Ru 0.000 0.000 0.244
8 Ru 0.000 0.756 0.756
9 Ru 0.000 0.244 0.000

Results
Energy relative to the elements in kJ/mol of formula units: -377.1
D(E_F) in states/eV/atom: 0.362
Space group: P-62m (189)

***

12.
A crystal of ScP2Ru relaxed with PBEsol, computed with SCAN.

Lattice parameters (Å, degrees): 3.063 4.516 4.589 103.65 109.50 90.00
Fractional coordinates of all 4 atoms:
1 P 0.997 0.999 0.993
2 P 0.244 0.707 0.487
3 Ru 0.515 0.594 0.031
4 Sc 0.744 0.199 0.488

Results
Energy relative to the elements in kJ/mol of formula units: -257.4
D(E_F) in states/eV/atom: 0.503
Space group: Cm (8)
Relative energy among the computed polymorphs in eV/atom: 0.000